Ca2FePdO4 (PBE with a Hubbard U, relaxed); DFT total energy = -6.1159 eV per atom
1.0
5.245 0.230 0.352
-2.027 4.843 -0.352
-2.027 -2.272 4.292
O Ca Pd Fe
4 2 1 1
direct
0.346 0.879 0.870 O
0.654 0.523 0.533 O
0.991 0.467 0.121 O
0.009 0.130 0.477 O
0.000 0.000 0.000 Ca
0.500 0.750 0.250 Ca
0.500 0.250 0.750 Pd
0.000 0.500 0.500 Fe